Computed, not measured: a relaxed structure of CdCuI2Cl at the PBE-GGA level of DFT.

Calculated values
- relative energy among the computed polymorphs (eV/atom) = 0.000
- formation energy (no corrections) (eV/atom) = 0.090

Cell lengths 5.1296, 5.1296, 5.7503 Å; angles 90.00, 90.00, 90.00 degrees
With the nearest neighbours (Å) after each atom.
Fractional coordinates of all 5 atoms:
I: 0.5000 0.0000 0.0000  2 Cu 2.56
Cd: 0.0000 0.0000 0.5000  2 Cu 2.88
I: 0.0000 0.5000 0.0000  2 Cu 2.56
Cu: 0.0000 0.0000 0.0000  4 I 2.56
Cl: 0.5000 0.5000 0.5000  4 Cd 3.63, 8 I 3.85